[1]
Al3Au (PBE, optimized geometry); ΔE_f = -0.122 eV/atom; theoretical density = 6.86 Mg/m³
1.0
2.9179 0.0000 0.0000
0.0000 2.9179 0.0000
0.0000 0.0000 7.9027
Al Au
3 1
direct
0.0000 0.0000 0.0000
0.5000 0.5000 0.2598
0.5000 0.5000 0.7402
0.0000 0.0000 0.5000

[2]
AlAu4 (PBE, optimized geometry); ΔE_f = -0.140 eV/atom; theoretical density = 15.23 Mg/m³
1.0
4.9366 0.0000 0.0000
0.0000 3.2469 0.0000
-1.4507 0.0000 11.0836
Al Au
2 8
direct
0.0000 0.0000 0.0000
0.5000 0.5000 0.0000
0.1135 0.5000 0.8216
0.2061 0.0000 0.6061
0.2939 0.5000 0.3939
0.3865 0.0000 0.1784
0.6135 0.0000 0.8216
0.7061 0.5000 0.6061
0.7939 0.0000 0.3939
0.8865 0.5000 0.1784

[3]
Al2Au (PBE, optimized geometry); ΔE_f = -0.204 eV/atom; theoretical density = 7.81 Mg/m³
1.0
6.2885 0.0000 0.0000
0.0000 6.2885 0.0000
0.0000 0.0000 5.3944
Al Au
8 4
direct
0.1484 0.3516 0.0000
0.1484 0.6484 0.5000
0.3516 0.1484 0.5000
0.3516 0.8516 0.0000
0.6484 0.1484 0.0000
0.6484 0.8516 0.5000
0.8516 0.3516 0.5000
0.8516 0.6484 0.0000
0.0000 0.0000 0.2500
0.0000 0.0000 0.7500
0.5000 0.5000 0.2500
0.5000 0.5000 0.7500

[4]
Al3Au (PBE, optimized geometry); ΔE_f = -0.154 eV/atom; theoretical density = 6.93 Mg/m³
1.0
9.0508 0.0000 0.0000
0.0000 3.0437 0.0000
-0.6909 0.0000 4.8339
Al Au
6 2
direct
0.0000 0.0000 0.0000
0.2480 0.0000 0.7537
0.2520 0.5000 0.2463
0.5000 0.5000 0.0000
0.7480 0.5000 0.7537
0.7520 0.0000 0.2463
0.0000 0.5000 0.5000
0.5000 0.0000 0.5000

[5]
Al5Au (PBE, optimized geometry); ΔE_f = -0.106 eV/atom; theoretical density = 5.56 Mg/m³
1.0
4.0829 0.0000 0.0000
0.0000 11.9747 0.0000
0.0000 0.0000 4.0572
Al Au
10 2
direct
0.0000 0.0000 0.0000
0.0000 0.1670 0.5000
0.0000 0.3309 0.0000
0.0000 0.6691 0.0000
0.0000 0.8330 0.5000
0.5000 0.1691 0.0000
0.5000 0.3330 0.5000
0.5000 0.5000 0.0000
0.5000 0.6670 0.5000
0.5000 0.8309 0.0000
0.0000 0.5000 0.5000
0.5000 0.0000 0.5000

[6]
Al2Au (PBE, optimized geometry); ΔE_f = -0.189 eV/atom; theoretical density = 7.98 Mg/m³
1.0
3.1415 0.0000 0.0000
-1.5707 2.7206 0.0000
0.0000 0.0000 6.1074
Al Au
2 1
direct
0.3333 0.6667 0.3260
0.6667 0.3333 0.6740
0.0000 0.0000 0.0000

[7]
AlAu5 (PBE, optimized geometry); ΔE_f = -0.144 eV/atom; theoretical density = 15.99 Mg/m³
1.0
4.1258 0.0000 0.0000
0.0000 12.2748 0.0000
0.0000 0.0000 4.1501
Al Au
2 10
direct
0.0000 0.0000 0.0000
0.5000 0.5000 0.0000
0.0000 0.1641 0.5000
0.0000 0.3414 0.0000
0.0000 0.5000 0.5000
0.0000 0.6586 0.0000
0.0000 0.8359 0.5000
0.5000 0.0000 0.5000
0.5000 0.1586 0.0000
0.5000 0.3359 0.5000
0.5000 0.6641 0.5000
0.5000 0.8414 0.0000

[8]
AlAu2 (PBE, optimized geometry); ΔE_f = -0.251 eV/atom; theoretical density = 12.68 Mg/m³
1.0
5.6090 0.0000 0.0000
0.0000 5.6090 0.0000
0.0000 0.0000 7.0056
Al Au
4 8
direct
0.0000 0.0000 0.2500
0.0000 0.0000 0.7500
0.5000 0.5000 0.2500
0.5000 0.5000 0.7500
0.1791 0.3209 0.0000
0.1791 0.6791 0.5000
0.3209 0.1791 0.5000
0.3209 0.8209 0.0000
0.6791 0.1791 0.0000
0.6791 0.8209 0.5000
0.8209 0.3209 0.5000
0.8209 0.6791 0.0000

[9]
Al6Au7 (PBE, optimized geometry); ΔE_f = -0.087 eV/atom; theoretical density = 10.58 Mg/m³
1.0
2.8195 1.6278 8.7794
-2.8195 1.6278 8.7794
0.0000 -3.2556 8.7794
Al Au
6 7
direct
0.0507 0.0507 0.0507
0.1617 0.1617 0.1617
0.3331 0.3331 0.3331
0.6669 0.6669 0.6669
0.8383 0.8383 0.8383
0.9493 0.9493 0.9493
0.0765 0.5795 0.5795
0.4205 0.4205 0.9235
0.4205 0.9235 0.4205
0.5000 0.5000 0.5000
0.5795 0.0765 0.5795
0.5795 0.5795 0.0765
0.9235 0.4205 0.4205

[10]
AlAu5 (PBE, optimized geometry); ΔE_f = 0.109 eV/atom; theoretical density = 14.34 Mg/m³
1.0
0.0000 3.8840 3.8840
3.8840 0.0000 3.8840
3.8840 3.8840 0.0000
Al Au
1 5
direct
0.0000 0.0000 0.0000
0.3750 0.3750 0.3750
0.3750 0.3750 0.8750
0.3750 0.8750 0.3750
0.7500 0.7500 0.7500
0.8750 0.3750 0.3750

[11]
Al3Au (PBE, optimized geometry); ΔE_f = -0.117 eV/atom; theoretical density = 6.86 Mg/m³
1.0
4.0284 0.0000 0.0000
0.0000 4.0284 0.0000
0.0000 0.0000 16.5720
Al Au
12 4
direct
0.0000 0.0000 0.1214
0.0000 0.0000 0.8786
0.0000 0.5000 0.0000
0.0000 0.5000 0.2500
0.0000 0.5000 0.5000
0.0000 0.5000 0.7500
0.5000 0.0000 0.0000
0.5000 0.0000 0.2500
0.5000 0.0000 0.5000
0.5000 0.0000 0.7500
0.5000 0.5000 0.3786
0.5000 0.5000 0.6214
0.0000 0.0000 0.3640
0.0000 0.0000 0.6360
0.5000 0.5000 0.1360
0.5000 0.5000 0.8640

[12]
Al4Au (PBE, optimized geometry); ΔE_f = 0.130 eV/atom; theoretical density = 5.44 Mg/m³
1.0
3.7973 0.0000 0.0000
0.0000 3.7973 0.0000
0.0000 0.0000 12.9048
Al Au
8 2
direct
0.0000 0.0000 0.0985
0.0000 0.0000 0.9015
0.0000 0.5000 0.2500
0.0000 0.5000 0.7500
0.5000 0.0000 0.2500
0.5000 0.0000 0.7500
0.5000 0.5000 0.4015
0.5000 0.5000 0.5985
0.0000 0.0000 0.5000
0.5000 0.5000 0.0000

[13]
AlAu2 (PBE, optimized geometry); ΔE_f = -0.317 eV/atom; theoretical density = 13.73 Mg/m³
1.0
6.8673 0.0000 0.0000
0.0000 3.2683 0.0000
0.0000 0.0000 9.0742
Al Au
4 8
direct
0.1335 0.2500 0.2202
0.3665 0.7500 0.7202
0.6335 0.2500 0.2798
0.8665 0.7500 0.7798
0.0832 0.2500 0.6164
0.1499 0.2500 0.9233
0.3501 0.7500 0.4233
0.4168 0.7500 0.1164
0.5832 0.2500 0.8836
0.6499 0.2500 0.5767
0.8501 0.7500 0.0767
0.9168 0.7500 0.3836

[14]
Al3Au (PBE, optimized geometry); ΔE_f = -0.144 eV/atom; theoretical density = 6.83 Mg/m³
1.0
2.9775 0.0000 0.0000
-1.4888 2.5786 0.0000
0.0000 0.0000 26.4171
Al Au
9 3
direct
0.0000 0.0000 0.0000
0.0000 0.0000 0.2485
0.0000 0.0000 0.7515
0.3333 0.6667 0.4181
0.3333 0.6667 0.6667
0.3333 0.6667 0.9152
0.6667 0.3333 0.0848
0.6667 0.3333 0.3333
0.6667 0.3333 0.5819
0.0000 0.0000 0.5000
0.3333 0.6667 0.1667
0.6667 0.3333 0.8333

[15]
Al3Au (PBE, optimized geometry); ΔE_f = -0.059 eV/atom; theoretical density = 6.62 Mg/m³
1.0
2.8015 0.0000 0.0000
0.0000 5.1297 0.0000
0.0000 0.0000 9.7032
Al Au
6 2
direct
0.0000 0.0000 0.0000
0.0000 0.5000 0.2444
0.0000 0.5000 0.7556
0.5000 0.0000 0.2556
0.5000 0.0000 0.7444
0.5000 0.5000 0.5000
0.0000 0.0000 0.5000
0.5000 0.5000 0.0000

[16]
Al3Au (PBE, optimized geometry); ΔE_f = -0.108 eV/atom; theoretical density = 6.93 Mg/m³
1.0
4.0540 0.0000 0.0000
0.0000 4.0540 0.0000
0.0000 0.0000 4.0540
Al Au
3 1
direct
0.0000 0.0000 0.5000
0.0000 0.5000 0.0000
0.5000 0.0000 0.0000
0.5000 0.5000 0.5000

[17]
AlAu5 (PBE, optimized geometry); ΔE_f = -0.142 eV/atom; theoretical density = 15.99 Mg/m³
1.0
5.0470 0.0000 0.0000
-2.5235 4.3708 0.0000
0.0000 0.0000 4.7618
Al Au
1 5
direct
0.0000 0.0000 0.0000
0.0000 0.6768 0.5000
0.3232 0.3232 0.5000
0.3333 0.6667 0.0000
0.6667 0.3333 0.0000
0.6768 0.0000 0.5000

[18]
AlAu2 (PBE, optimized geometry); ΔE_f = 0.066 eV/atom; theoretical density = 11.33 Mg/m³
1.0
5.4006 0.0000 0.0000
-2.7003 4.6771 0.0000
0.0000 0.0000 9.7706
Al Au
4 8
direct
0.3333 0.6667 0.0235
0.3333 0.6667 0.4765
0.6667 0.3333 0.5235
0.6667 0.3333 0.9765
0.0000 0.0000 0.0000
0.0000 0.0000 0.5000
0.1667 0.3334 0.2500
0.1667 0.8333 0.2500
0.3334 0.1667 0.7500
0.6666 0.8333 0.2500
0.8333 0.1667 0.7500
0.8333 0.6666 0.7500

[19]
Al2Au (PBE, optimized geometry); ΔE_f = -0.248 eV/atom; theoretical density = 7.84 Mg/m³
1.0
3.5153 0.0000 0.0000
0.0000 8.1972 0.0000
0.0000 0.0000 7.3804
Al Au
8 4
direct
0.0000 0.0660 0.0000
0.0000 0.3459 0.8018
0.0000 0.6541 0.3018
0.0000 0.9340 0.5000
0.5000 0.1541 0.3018
0.5000 0.4340 0.5000
0.5000 0.5660 0.0000
0.5000 0.8459 0.8018
0.0000 0.3619 0.1587
0.0000 0.6381 0.6587
0.5000 0.1381 0.6587
0.5000 0.8619 0.1587

[20]
AlAu2 (PBE, optimized geometry); ΔE_f = -0.271 eV/atom; theoretical density = 12.04 Mg/m³
1.0
4.4916 0.0000 0.0000
0.0000 4.4916 0.0000
0.0000 0.0000 2.8777
Al Au
1 2
direct
0.0000 0.0000 0.0000
0.0000 0.5000 0.5000
0.5000 0.0000 0.5000